First-principles (PBE-GGA) data for a geometry-optimized Tb2ThGa2 structure, as listed in Alexandria.

Summary:
symmetry = No. 11
ΔH_f (0 K) = -307 meV per atom
DOS at the Fermi energy = 8.88 states/eV/cell
spin magnetization = 0.00 μB per formula unit
theoretical density = 8.3 g/cm3

The structure in POSCAR format:
```
Tb2ThGa2
1.0
5.9157 0.0000 0.0000
0.0000 3.8844 0.0000
-0.9901 0.0000 12.0756
Tb Th Ga
4 2 4
Direct
0.0894 0.2500 0.3635
0.2581 0.2500 0.0682
0.7419 0.7500 0.9318
0.9106 0.7500 0.6365
0.4102 0.2500 0.7119
0.5898 0.7500 0.2881
0.2268 0.7500 0.8772
0.3535 0.7500 0.5119
0.6465 0.2500 0.4881
0.7732 0.2500 0.1228
```

=====

First-principles (PBE-GGA) data for a geometry-optimized TbTh2Ga2 structure, as listed in Alexandria.

Summary:
symmetry = No. 127
ΔH_f (0 K) = -453 meV per atom
DOS at the Fermi energy = 9.58 states/eV/cell
spin magnetization = 0.00 μB per formula unit
theoretical density = 9.4 g/cm3

The structure in POSCAR format:
```
TbTh2Ga2
1.0
7.8115 0.0000 0.0000
0.0000 7.8115 0.0000
0.0000 0.0000 4.4005
Tb Th Ga
2 4 4
Direct
0.0000 0.0000 0.0000
0.5000 0.5000 0.0000
0.1738 0.3262 0.5000
0.3262 0.8262 0.5000
0.6738 0.1738 0.5000
0.8262 0.6738 0.5000
0.1209 0.6209 0.0000
0.3791 0.1209 0.0000
0.6209 0.8791 0.0000
0.8791 0.3791 0.0000
```

=====

First-principles (PBE-GGA) data for a geometry-optimized Tb2ThGa4 structure, as listed in Alexandria.

Summary:
symmetry = No. 71
ΔH_f (0 K) = -645 meV per atom
DOS at the Fermi energy = 4.53 states/eV/cell
spin magnetization = 0.00 μB per formula unit
theoretical density = 8.3 g/cm3

The structure in POSCAR format:
```
Tb2ThGa4
1.0
-2.0783 2.1583 9.1939
2.0783 -2.1583 9.1939
2.0783 2.1583 -9.1939
Tb Th Ga
2 1 4
Direct
0.1842 0.1842 0.0000
0.8158 0.8158 0.0000
0.0000 0.5000 0.5000
0.3527 0.3527 0.0000
0.4325 0.9325 0.5000
0.5675 0.0675 0.5000
0.6473 0.6473 0.0000
```

=====

First-principles (PBE-GGA) data for a geometry-optimized TbThGa4 structure, as listed in Alexandria.

Summary:
symmetry = No. 119
ΔH_f (0 K) = -644 meV per atom
DOS at the Fermi energy = 1.80 states/eV/cell
polymorph energy (0 for the lowest one) = 0.00 kcal/mol of atoms
spin magnetization = 0.00 μB per formula unit
theoretical density = 8.5 g/cm3

The structure in POSCAR format:
```
TbThGa4
1.0
-2.1123 2.1123 7.3684
2.1123 -2.1123 7.3684
2.1123 2.1123 -7.3684
Tb Th Ga
1 1 4
Direct
0.0000 0.0000 0.0000
0.7500 0.2500 0.5000
0.1663 0.6663 0.5000
0.3337 0.8337 0.5000
0.4181 0.4181 0.0000
0.5819 0.5819 0.0000
```

=====

First-principles (PBE-GGA) data for a geometry-optimized TbThGa structure, as listed in Alexandria.

Summary:
symmetry = No. 156
ΔH_f (0 K) = -129 meV per atom
DOS at the Fermi energy = 3.46 states/eV/cell
polymorph energy (0 for the lowest one) = 3.26 kcal/mol of atoms
spin magnetization = 0.00 μB per formula unit
theoretical density = 9.4 g/cm3

The structure in POSCAR format:
```
TbThGa
1.0
5.0118 0.0000 0.0000
-2.5059 4.3403 0.0000
0.0000 0.0000 3.7574
Tb Th Ga
1 1 1
Direct
0.0000 0.0000 0.0000
0.6667 0.3333 0.4590
0.3333 0.6667 0.8092
```

=====

First-principles (PBE-GGA) data for a geometry-optimized TbThGa4 structure, as listed in Alexandria.

Summary:
symmetry = No. 216
ΔH_f (0 K) = -485 meV per atom
DOS at the Fermi energy = 4.46 states/eV/cell
polymorph energy (0 for the lowest one) = 3.66 kcal/mol of atoms
spin magnetization = 0.00 μB per formula unit
theoretical density = 8.9 g/cm3

The structure in POSCAR format:
```
TbThGa4
1.0
0.0000 3.9664 3.9664
3.9664 0.0000 3.9664
3.9664 3.9664 0.0000
Tb Th Ga
1 1 4
Direct
0.0000 0.0000 0.0000
0.2500 0.2500 0.2500
0.1255 0.6248 0.6248
0.6248 0.1255 0.6248
0.6248 0.6248 0.1255
0.6248 0.6248 0.6248
```

=====

First-principles (PBE-GGA) data for a geometry-optimized TbThGa structure, as listed in Alexandria.

Summary:
symmetry = No. 65
ΔH_f (0 K) = 42 meV per atom
DOS at the Fermi energy = 6.24 states/eV/cell
polymorph energy (0 for the lowest one) = 7.20 kcal/mol of atoms
spin magnetization = 0.00 μB per formula unit
theoretical density = 7.9 g/cm3

The structure in POSCAR format:
```
TbThGa
1.0
5.0672 -5.3075 0.0000
5.0672 5.3075 0.0000
0.0000 0.0000 3.6217
Tb Th Ga
2 2 2
Direct
0.2193 0.2193 0.0000
0.7807 0.7807 0.0000
0.2777 0.7223 0.5000
0.7223 0.2777 0.5000
0.0000 0.0000 0.5000
0.5000 0.5000 0.0000
```

=====

First-principles (PBE-GGA) data for a geometry-optimized TbThGa structure, as listed in Alexandria.

Summary:
symmetry = No. 107
ΔH_f (0 K) = -270 meV per atom
DOS at the Fermi energy = 3.38 states/eV/cell
polymorph energy (0 for the lowest one) = 0.00 kcal/mol of atoms
spin magnetization = 0.00 μB per formula unit
theoretical density = 9.3 g/cm3

The structure in POSCAR format:
```
TbThGa
1.0
-1.7879 1.7879 6.4171
1.7879 -1.7879 6.4171
1.7879 1.7879 -6.4171
Tb Th Ga
1 1 1
Direct
0.0000 0.0000 0.0000
0.2943 0.2943 0.0000
0.6406 0.6406 0.0000
```

=====

Uncorrected energy values, unit eV for the cell shown, following the record order: -48.54, -55.58, -33.31, -28.02, -15.46, -27.07, -29.90, -15.89.